# 1
The following is a PBE-GGA calculation of crystalline TaCo2Sb at its relaxed geometry, from Alexandria.

POSCAR file:
```
TaCo2Sb
1.0
-1.5587 3.2144 6.8297
-1.3705 0.1686 7.5829
1.2449 1.8983 7.3657
Co Ta Sb
2 1 1
direct
0.4944 0.4944 0.4944 Co
0.0056 0.0056 0.0056 Co
0.7500 0.7500 0.7500 Ta
0.2500 0.2500 0.2500 Sb
```

Properties
energy relative to the elements, uncorrected = 0.204 eV/atom
V = 16.0 Å³ per atom
space-group type = R-3m (166)
VASP energy = -7.342 eV per atom

=====

# 2
The following is a PBE-GGA calculation of crystalline TaCo2Sb at its relaxed geometry, from Alexandria.

POSCAR file:
```
TaCo2Sb
1.0
4.3964 0.0000 0.0000
2.1982 3.8074 0.0000
2.1982 1.2691 3.5897
Ta Co Sb
1 2 1
direct
0.7500 0.7500 0.7500 Ta
0.2500 0.2500 0.2500 Co
0.0000 0.0000 0.0000 Co
0.5000 0.5000 0.5000 Sb
```

Properties
energy relative to the elements, uncorrected = 0.272 eV/atom
V = 15.0 Å³ per atom
space-group type = F-43m (216)
VASP energy = -7.275 eV per atom

=====

# 3
The following is a PBE-GGA calculation of crystalline Ta2CoSb at its relaxed geometry, from Alexandria.

POSCAR file:
```
Ta2CoSb
1.0
3.7688 0.0000 0.0000
0.0000 3.3275 -0.0023
0.0000 1.6700 5.5439
Sb Ta Co
1 2 1
direct
0.5000 0.5606 0.7544 Sb
0.0000 0.9387 0.9985 Ta
0.5000 0.2942 0.2872 Ta
0.0000 0.7065 0.4598 Co
```

Properties
energy relative to the elements, uncorrected = 0.015 eV/atom
V = 17.4 Å³ per atom
space-group type = Amm2 (38)
VASP energy = -8.718 eV per atom

=====

# 4
The following is a PBE-GGA calculation of crystalline Ta2CoSb at its relaxed geometry, from Alexandria.

POSCAR file:
```
Ta2CoSb
1.0
3.0184 0.0000 0.0000
0.0000 3.0184 0.0000
0.0000 0.0000 7.5614
Ta Co Sb
2 1 1
direct
0.0000 0.0000 0.0405 Ta
0.0000 0.0000 0.4595 Ta
0.5000 0.5000 0.2500 Co
0.5000 0.5000 0.7500 Sb
```

Properties
energy relative to the elements, uncorrected = 0.162 eV/atom
V = 17.2 Å³ per atom
space-group type = P4/mmm (123)
VASP energy = -8.572 eV per atom

=====

# 5
The following is a PBE-GGA calculation of crystalline TaCo2Sb at its relaxed geometry, from Alexandria.

POSCAR file:
```
TaCo2Sb
1.0
4.5032 0.0034 0.0054
0.7270 4.4442 -0.0054
-2.6172 -2.2213 2.9147
Co Ta Sb
2 1 1
direct
0.9998 0.9998 0.0000 Co
0.5002 0.5002 0.0000 Co
0.2500 0.7500 0.5000 Ta
0.7500 0.2500 0.5000 Sb
```

Properties
energy relative to the elements, uncorrected = -0.008 eV/atom
V = 14.6 Å³ per atom
space-group type = I4/mmm (139)
VASP energy = -7.554 eV per atom

=====

# 6
The following is a PBE-GGA calculation of crystalline TaCoSbTe2 at its relaxed geometry, from Alexandria.

POSCAR file:
```
TaCoSbTe2
1.0
-0.6585 4.9296 1.9902
-2.3843 -2.0662 4.3291
4.8122 -0.3581 2.4794
Ta Sb Te Co
1 1 2 1
direct
0.0000 0.0000 0.0000 Ta
0.0000 0.0000 0.5000 Sb
0.0000 0.5000 0.0000 Te
0.5000 0.0000 0.0000 Te
0.5000 0.5000 0.5000 Co
```

Properties
energy relative to the elements, uncorrected = 0.960 eV/atom
V = 31.1 Å³ per atom
space-group type = P4/mmm (123)
VASP energy = -4.913 eV per atom